Entry from Alexandria via LeMat-Bulk: an optimized crystal structure of SnSIN2 (PBE).

Results
Fermi-level density of states in states/eV per cell: 3.3
ΔE to the lowest computed polymorph in eV per atom: 0.4486
DFT total energy in eV/atom: -3.473
Uncorrected formation energy in eV per atom: 1.79

Cell and atoms, written as CIF:
```
data_SnSIN2
_symmetry_space_group_name_H-M 'P 4/m m m'
_symmetry_Int_Tables_number 123
_symmetry_space_group_name_Hall '-P 4 2'
_cell_length_a 4.1739
_cell_length_b 4.1739
_cell_length_c 5.2337
_cell_angle_alpha 90.00
_cell_angle_beta 90.00
_cell_angle_gamma 90.00
loop_
_atom_site_label
_atom_site_fract_x
_atom_site_fract_y
_atom_site_fract_z
_atom_site_occupancy
Sn1 0.0000 0.0000 0.0000 1
S1 0.5000 0.5000 0.5000 1
I1 0.5000 0.5000 0.0000 1
N1 0.0000 0.5000 0.5000 1
```

---

Entry from Alexandria via LeMat-Bulk: an optimized crystal structure of SnSIN2 (PBE).

Results
Fermi-level density of states in states/eV per cell: 4.7
ΔE to the lowest computed polymorph in eV per atom: 0.1115
DFT total energy in eV/atom: -3.810
Uncorrected formation energy in eV per atom: 1.46

Cell and atoms, written as CIF:
```
data_SnSIN2
_symmetry_space_group_name_H-M 'P 4/m m m'
_symmetry_Int_Tables_number 123
_symmetry_space_group_name_Hall '-P 4 2'
_cell_length_a 4.0067
_cell_length_b 4.0067
_cell_length_c 8.0439
_cell_angle_alpha 90.00
_cell_angle_beta 90.00
_cell_angle_gamma 90.00
loop_
_atom_site_label
_atom_site_fract_x
_atom_site_fract_y
_atom_site_fract_z
_atom_site_occupancy
Sn1 0.0000 0.0000 0.0000 1
S1 0.5000 0.5000 0.5000 1
I1 0.0000 0.0000 0.5000 1
N1 0.0000 0.5000 0.0000 1
```

---

Entry from Alexandria via LeMat-Bulk: an optimized crystal structure of SnS2IN (PBE).

Results
Fermi-level density of states in states/eV per cell: 1.7
ΔE to the lowest computed polymorph in eV per atom: 0.0238
DFT total energy in eV/atom: -3.448
Uncorrected formation energy in eV per atom: 0.98

Cell and atoms, written as CIF:
```
data_SnS2IN
_symmetry_space_group_name_H-M 'P 4/m m m'
_symmetry_Int_Tables_number 123
_symmetry_space_group_name_Hall '-P 4 2'
_cell_length_a 5.2763
_cell_length_b 5.2763
_cell_length_c 3.9745
_cell_angle_alpha 90.00
_cell_angle_beta 90.00
_cell_angle_gamma 90.00
loop_
_atom_site_label
_atom_site_fract_x
_atom_site_fract_y
_atom_site_fract_z
_atom_site_occupancy
Sn1 0.0000 0.0000 0.0000 1
S1 0.0000 0.5000 0.5000 1
I1 0.5000 0.5000 0.5000 1
N1 0.5000 0.5000 0.0000 1
```

---

Entry from Alexandria via LeMat-Bulk: an optimized crystal structure of Sr4SI2N (PBE).

Results
Fermi-level density of states in states/eV per cell: 2.6
DFT total energy in eV/atom: -4.126
Uncorrected formation energy in eV per atom: -1.34

Cell and atoms, written as CIF:
```
data_Sr4SI2N
_symmetry_space_group_name_H-M 'P 1 2/m 1'
_symmetry_Int_Tables_number 10
_cell_length_a 7.4194
_cell_length_b 4.1938
_cell_length_c 8.1467
_cell_angle_alpha 90.00
_cell_angle_beta 106.93
_cell_angle_gamma 90.00
loop_
_symmetry_equiv_pos_as_xyz
'x,y,z'
'-x,-y,-z'
'-x,y,-z'
'x,-y,z'
loop_
_atom_site_label
_atom_site_fract_x
_atom_site_fract_y
_atom_site_fract_z
_atom_site_occupancy
Sr1 0.2012 0.0000 0.1778 1
Sr2 0.2386 0.5000 0.8137 1
S1 0.5000 0.0000 0.0000 1
I1 0.0000 0.0000 0.5000 1
I2 0.5000 0.5000 0.5000 1
N1 0.0000 0.5000 0.0000 1
```

---

Entry from Alexandria via LeMat-Bulk: an optimized crystal structure of Sr6S2I3N (PBE).

Results
Fermi-level density of states in states/eV per cell: 11.5
DFT total energy in eV/atom: -4.049
Uncorrected formation energy in eV per atom: -1.44

Cell and atoms, written as CIF:
```
data_Sr6S2I3N
_symmetry_space_group_name_H-M 'C 1 2/m 1'
_symmetry_Int_Tables_number 12
_cell_length_a 7.4279
_cell_length_b 12.8471
_cell_length_c 8.1549
_cell_angle_alpha 90.00
_cell_angle_beta 107.61
_cell_angle_gamma 90.00
loop_
_symmetry_equiv_pos_as_xyz
'x,y,z'
'-x,-y,-z'
'-x,y,-z'
'x,-y,z'
'x+1/2,y+1/2,z'
'-x+1/2,-y+1/2,-z'
'-x+1/2,y+1/2,-z'
'x+1/2,-y+1/2,z'
loop_
_atom_site_label
_atom_site_fract_x
_atom_site_fract_y
_atom_site_fract_z
_atom_site_occupancy
Sr1 0.2140 0.1519 0.1868 1
Sr2 0.2404 0.0000 0.8090 1
S1 0.0000 0.3340 0.0000 1
I1 0.0000 0.1722 0.5000 1
I2 0.0000 0.5000 0.5000 1
N1 0.0000 0.0000 0.0000 1
```

---

Entry from Alexandria via LeMat-Bulk: an optimized crystal structure of TaS2IN (PBE).

Results
Fermi-level density of states in states/eV per cell: 5.1
ΔE to the lowest computed polymorph in eV per atom: 0.0000
DFT total energy in eV/atom: -5.854
Uncorrected formation energy in eV per atom: 0.14

Cell and atoms, written as CIF:
```
data_TaS2IN
_symmetry_space_group_name_H-M 'P 4/m m m'
_symmetry_Int_Tables_number 123
_symmetry_space_group_name_Hall '-P 4 2'
_cell_length_a 5.0058
_cell_length_b 5.0058
_cell_length_c 3.9588
_cell_angle_alpha 90.00
_cell_angle_beta 90.00
_cell_angle_gamma 90.00
loop_
_atom_site_label
_atom_site_fract_x
_atom_site_fract_y
_atom_site_fract_z
_atom_site_occupancy
Ta1 0.0000 0.0000 0.0000 1
S1 0.0000 0.5000 0.0000 1
I1 0.5000 0.5000 0.5000 1
N1 0.0000 0.0000 0.5000 1
```